Run 1
Crystalline Ni2Sn2Ge at its relaxed geometry, computed with PBE.

The crystal system is tetragonal.

The structure belongs to space group P4/mbm (No. 127); the cell edges are 7.335, 7.335 and 3.246 Å and the angles 90.00°, 90.00° and 90.00°. The asymmetric unit holds Ni at (0.127, 0.373, 0.000), Sn at (0.168, 0.668, 0.500) and Ge at (0.000, 0.000, 0.000).

Run 2
Crystalline Ni2Sn2Ge at its relaxed geometry, computed with PBE.

The crystal system is tetragonal.

The structure belongs to space group P4/mbm (No. 127); the cell edges are 7.794, 7.794 and 2.948 Å and the angles 90.00°, 90.00° and 90.00°. The asymmetric unit holds Ni at (0.125, 0.375, 0.000), Sn at (0.164, 0.664, 0.500) and Ge at (0.000, 0.000, 0.500).

Result of the stability comparison: run 2 is the least stable of them.

Run 1
Crystalline SrNi3Ge at its relaxed geometry, computed with PBE.

The crystal system is cubic.

The structure belongs to space group Pm-3m (No. 221); the cell edges are 4.752, 4.752 and 4.752 Å and the angles 90.00°, 90.00° and 90.00°. The asymmetric unit holds Sr at (0.000, 0.000, 0.000), Ni at (0.000, 0.000, 0.500) and Ge at (0.500, 0.500, 0.500).

Run 2
Crystalline SrNi3Ge at its relaxed geometry, computed with PBE.

The crystal system is orthorhombic.

The structure belongs to space group Pbam (No. 55); the cell edges are 5.806, 7.010 and 4.535 Å and the angles 90.00°, 90.00° and 90.00°. The asymmetric unit holds Sr at (0.000, 0.000, 0.000), Ni at (0.000, 0.500, 0.000), Ni at (0.249, 0.250, 0.500) and Ge at (0.000, 0.500, 0.500).

Result of the stability comparison: run 1 is the least stable of them.

Run 1
Crystalline SrNi3Ge3 at its relaxed geometry, computed with PBE.

The crystal system is cubic.

The structure belongs to space group Pm-3n (No. 223); the cell edges are 6.522, 6.522 and 6.522 Å and the angles 90.00°, 90.00° and 90.00°. The asymmetric unit holds Sr at (0.000, 0.000, 0.000), Ni at (0.000, 0.250, 0.500) and Ge at (0.000, 0.500, 0.250).

Run 2
Crystalline SrNi3Ge3 at its relaxed geometry, computed with PBE.

The crystal system is trigonal.

The structure belongs to space group R-3 (No. 148, hexagonal axes); the cell edges are 6.3333, 6.3333 and 22.6796 Å and the angles 90.00°, 90.00° and 120.00°. The asymmetric unit holds Sr at (0.0000, 0.0000, 0.1746), Ni at (0.0235, 0.7632, 0.7014) and Ge at (0.0390, 0.6128, 0.2639).

Result of the stability comparison: run 1 is the least stable of them.

Run 1
Crystalline Sr3Ni2Ge4 at its relaxed geometry, computed with PBE.

The crystal system is monoclinic.

The structure belongs to space group C2/m (No. 12); the cell edges are 12.000, 4.067 and 8.774 Å and the angles 90.00°, 95.57° and 90.00°. The asymmetric unit holds Sr at (0.000, 0.000, 0.000), Sr at (0.166, 0.500, 0.662), Ni at (0.109, 0.500, 0.279), Ge at (0.057, 0.000, 0.382) and Ge at (0.217, 0.500, 0.069).

Run 2
Crystalline Sr3Ni2Ge4 at its relaxed geometry, computed with PBE.

The crystal system is monoclinic.

The structure belongs to space group C2/m (No. 12); the cell edges are 11.638, 4.072 and 8.943 Å and the angles 90.00°, 99.82° and 90.00°. The asymmetric unit holds Sr at (0.000, 0.000, 0.000), Sr at (0.115, 0.500, 0.390), Ni at (0.185, 0.500, 0.804), Ge at (0.111, 0.000, 0.680) and Ge at (0.210, 0.500, 0.083).

Result of the stability comparison: run 2 is the least stable of them.